[1]
Computed, not measured: a geometry-optimized ReIrRh structure at the PBEsol level of DFT.

a b c (Å): 6.046 6.046 6.046
angles (deg): 154.09 154.09 36.97
Fractional coordinates of all 3 atoms:
1 Re 0.000 0.000 0.000
2 Ir 0.338 0.338 0.000
3 Rh 0.663 0.663 0.000

## Properties
Formation energy in kcal/mol of atoms: -3.52
Total moment in μB per formula unit: 0.00
E above lowest polymorph in meV/atom: 10

[2]
Computed, not measured: a geometry-optimized NaHfC2 structure at the PBEsol level of DFT.

a b c (Å): 7.355 7.355 7.355
angles (deg): 142.06 142.06 54.73
Fractional coordinates of all 8 atoms:
1 Na 0.000 0.000 0.000
2 Na 0.750 0.250 0.500
3 Hf 0.250 0.750 0.500
4 Hf 0.500 0.500 0.000
5 C 0.242 0.625 0.117
6 C 0.375 0.492 0.617
7 C 0.508 0.125 0.883
8 C 0.875 0.758 0.383

## Properties
Formation energy in kcal/mol of atoms: 27.79
Total moment in μB per formula unit: 0.00

[3]
Computed, not measured: a geometry-optimized Ta3CdPt structure at the PBEsol level of DFT.

a b c (Å): 4.817 4.817 4.817
angles (deg): 90.00 90.00 90.00
Fractional coordinates of all 5 atoms:
1 Ta 0.000 0.000 0.500
2 Ta 0.000 0.500 0.000
3 Ta 0.500 0.000 0.000
4 Cd 0.000 0.000 0.000
5 Pt 0.500 0.500 0.500

## Properties
Formation energy in kcal/mol of atoms: 53.55
Total moment in μB per formula unit: 0.01
E above lowest polymorph in meV/atom: 1135

[4]
Computed, not measured: a geometry-optimized Li2PtSe structure at the PBEsol level of DFT.

a b c (Å): 3.404 3.404 5.291
angles (deg): 90.00 90.00 90.00
Fractional coordinates of all 4 atoms:
1 Li 0.000 0.000 0.000
2 Li 0.500 0.500 0.268
3 Pt 0.000 0.000 0.510
4 Se 0.500 0.500 0.737

## Properties
Total moment in μB per formula unit: 0.00
Raw formation energy in eV per atom: -0.338

[5]
Computed, not measured: a geometry-optimized MnTcRh2 structure at the PBEsol level of DFT.

a b c (Å): 2.643 2.643 7.449
angles (deg): 90.00 90.00 90.00
Fractional coordinates of all 4 atoms:
1 Mn 0.000 0.000 0.000
2 Tc 0.000 0.000 0.500
3 Rh 0.500 0.500 0.243
4 Rh 0.500 0.500 0.757

## Properties
Formation energy in kcal/mol of atoms: -1.18
Total moment in μB per formula unit: 2.05
E above lowest polymorph in meV/atom: 17

[6]
Computed, not measured: a geometry-optimized Nd6MgGe2S14 structure at the PBEsol level of DFT.

a b c (Å): 10.101 10.101 5.692
angles (deg): 90.00 90.00 120.00
Fractional coordinates of all 23 atoms:
1 Nd 0.024 0.564 0.000
2 Nd 0.309 0.104 0.492
3 Nd 0.436 0.460 0.000
4 Nd 0.540 0.976 0.000
5 Nd 0.794 0.691 0.492
6 Nd 0.896 0.206 0.492
7 Mg 0.667 0.333 0.760
8 Ge 0.000 0.000 0.910
9 Ge 0.333 0.667 0.419
10 S 0.000 0.000 0.292
11 S 0.082 0.851 0.756
12 S 0.149 0.231 0.756
13 S 0.184 0.436 0.262
14 S 0.252 0.816 0.262
15 S 0.333 0.667 0.801
16 S 0.417 0.172 0.001
17 S 0.507 0.424 0.520
18 S 0.564 0.748 0.262
19 S 0.576 0.083 0.520
20 S 0.755 0.583 0.001
21 S 0.769 0.918 0.756
22 S 0.828 0.245 0.001
23 S 0.917 0.493 0.520

## Properties
Total moment in μB per formula unit: 0.00
Raw formation energy in eV per atom: -1.641

[7]
Computed, not measured: a geometry-optimized LaCdSb2I structure at the PBEsol level of DFT.

a b c (Å): 6.064 6.064 6.055
angles (deg): 90.00 90.00 90.00
Fractional coordinates of all 5 atoms:
1 La 0.000 0.000 0.000
2 Cd 0.500 0.500 0.500
3 Sb 0.000 0.500 0.000
4 Sb 0.500 0.000 0.000
5 I 0.000 0.000 0.500

## Properties
Total moment in μB per formula unit: 0.41
E above lowest polymorph in meV/atom: 289
Raw formation energy in eV per atom: 0.240

[8]
Computed, not measured: a geometry-optimized CoNi2Rh structure at the PBEsol level of DFT.

a b c (Å): 4.357 4.357 4.348
angles (deg): 99.95 99.95 33.98
Fractional coordinates of all 4 atoms:
1 Co 0.000 0.000 0.000
2 Ni 0.253 0.253 0.757
3 Ni 0.504 0.504 0.516
4 Rh 0.751 0.751 0.255

## Properties
Formation energy in kcal/mol of atoms: 1.06
Total moment in μB per formula unit: 3.62
E above lowest polymorph in meV/atom: 9

[9]
Computed, not measured: a geometry-optimized Bi2OsRu structure at the PBEsol level of DFT.

a b c (Å): 4.746 4.746 4.746
angles (deg): 60.00 60.00 60.00
Fractional coordinates of all 4 atoms:
1 Bi 0.250 0.250 0.250
2 Bi 0.750 0.750 0.750
3 Os 0.000 0.000 0.000
4 Ru 0.500 0.500 0.500

## Properties
Formation energy in kcal/mol of atoms: 18.10
Total moment in μB per formula unit: 0.31

[10]
Computed, not measured: a geometry-optimized La2Sb4Ir3 structure at the PBEsol level of DFT.

a b c (Å): 16.192 4.576 10.956
angles (deg): 90.00 90.00 90.00
Fractional coordinates of all 36 atoms:
1 La 0.007 0.250 0.249
2 La 0.249 0.750 0.588
3 La 0.251 0.250 0.088
4 La 0.493 0.750 0.749
5 La 0.507 0.250 0.251
6 La 0.749 0.750 0.912
7 La 0.751 0.250 0.412
8 La 0.993 0.750 0.751
9 Sb 0.068 0.750 0.449
10 Sb 0.106 0.750 0.060
11 Sb 0.152 0.250 0.777
12 Sb 0.209 0.250 0.386
13 Sb 0.291 0.750 0.886
14 Sb 0.348 0.750 0.277
15 Sb 0.394 0.250 0.560
16 Sb 0.432 0.250 0.949
17 Sb 0.568 0.750 0.051
18 Sb 0.606 0.750 0.440
19 Sb 0.652 0.250 0.723
20 Sb 0.709 0.250 0.114
21 Sb 0.791 0.750 0.614
22 Sb 0.848 0.750 0.223
23 Sb 0.894 0.250 0.940
24 Sb 0.932 0.250 0.551
25 Ir 0.056 0.250 0.967
26 Ir 0.093 0.250 0.558
27 Ir 0.181 0.750 0.277
28 Ir 0.319 0.250 0.777
29 Ir 0.407 0.750 0.058
30 Ir 0.444 0.750 0.467
31 Ir 0.556 0.250 0.533
32 Ir 0.593 0.250 0.942
33 Ir 0.681 0.750 0.223
34 Ir 0.819 0.250 0.723
35 Ir 0.907 0.750 0.442
36 Ir 0.944 0.750 0.033

## Properties
Total moment in μB per formula unit: 0.00
Raw formation energy in eV per atom: -0.773

[11]
Computed, not measured: a geometry-optimized LiMg2Al structure at the PBEsol level of DFT.

a b c (Å): 3.013 4.263 6.021
angles (deg): 90.00 90.00 90.00
Fractional coordinates of all 4 atoms:
1 Li 0.000 0.000 0.000
2 Mg 0.000 0.000 0.527
3 Mg 0.500 0.500 0.253
4 Al 0.500 0.500 0.766

## Properties
Formation energy in kcal/mol of atoms: -0.47
Total moment in μB per formula unit: 0.00

[12]
Computed, not measured: a geometry-optimized SrCaAs2 structure at the PBEsol level of DFT.

a b c (Å): 5.154 5.154 5.154
angles (deg): 60.00 60.00 60.00
Fractional coordinates of all 4 atoms:
1 Sr 0.000 0.000 0.000
2 Ca 0.250 0.250 0.250
3 As 0.500 0.500 0.500
4 As 0.750 0.750 0.750

## Properties
Formation energy in kcal/mol of atoms: -7.14
Total moment in μB per formula unit: 0.00
E above lowest polymorph in meV/atom: 575